Entry 1:
Ba8TlPt2Rh | GGA-PBE | relaxed

## Properties
- DOS(E_F) (states/eV/atom) = 0.60
- SG = P2/m (10)
- VASP energy (eV/atom) = -3.503

Unit cell a=7.528 b=9.765 c=7.693 alpha=90.00 beta=91.35 gamma=90.00
Atoms (fractional coordinates):
Ba 0.206 0.000 0.344
Ba 0.228 0.500 0.320
Ba 0.273 0.276 0.821
Ba 0.273 0.724 0.821
Ba 0.727 0.276 0.179
Ba 0.727 0.724 0.179
Ba 0.772 0.500 0.680
Ba 0.794 0.000 0.656
Tl 0.500 0.000 0.000
Pt 0.000 0.255 0.500
Pt 0.000 0.745 0.500
Rh 0.500 0.500 0.000

---

Entry 2:
LaHo8Tl2 | GGA-PBE | relaxed

## Properties
- DOS(E_F) (states/eV/atom) = 1.40
- SG = C2/m (12)
- VASP energy (eV/atom) = -4.207

Unit cell a=10.045 b=10.045 c=5.319 alpha=92.84 beta=92.84 gamma=39.84
Atoms (fractional coordinates):
La 0.000 0.000 0.000
Ho 0.128 0.605 0.271
Ho 0.199 0.199 0.234
Ho 0.395 0.872 0.729
Ho 0.453 0.453 0.760
Ho 0.547 0.547 0.240
Ho 0.605 0.128 0.271
Ho 0.801 0.801 0.766
Ho 0.872 0.395 0.729
Tl 0.287 0.287 0.754
Tl 0.713 0.713 0.246

---

Entry 3:
CuTcOs2S | GGA-PBE | relaxed

## Properties
- DOS(E_F) (states/eV/atom) = 0.90
- E_form (uncorrected) (eV/atom) = 1.03
- SG = P4/mmm (123)
- VASP energy (eV/atom) = -7.185

Unit cell a=4.316 b=4.316 c=4.326 alpha=90.00 beta=90.00 gamma=90.00
Atoms (fractional coordinates):
Cu 0.000 0.000 0.000
Tc 0.500 0.500 0.000
Os 0.000 0.500 0.500
Os 0.500 0.000 0.500
S 0.500 0.500 0.500

---

Entry 4:
La2TiCuSi | GGA-PBE | relaxed

## Properties
- DOS(E_F) (states/eV/atom) = 1.15
- E_form (uncorrected) (eV/atom) = 0.40
- SG = P4/mmm (123)
- VASP energy (eV/atom) = -5.054

Unit cell a=5.438 b=5.438 c=4.747 alpha=90.00 beta=90.00 gamma=90.00
Atoms (fractional coordinates):
La 0.000 0.500 0.000
La 0.500 0.000 0.000
Ti 0.000 0.000 0.000
Cu 0.500 0.500 0.500
Si 0.000 0.000 0.500

---

Entry 5:
KBa2SnS4 | GGA-PBE | relaxed

## Properties
- DOS(E_F) (states/eV/atom) = 0.57
- E_form (uncorrected) (eV/atom) = -1.27
- SG = Imma (74)
- VASP energy (eV/atom) = -4.454

Unit cell a=8.744 b=8.744 c=8.744 alpha=119.62 beta=119.24 gamma=90.99
Atoms (fractional coordinates):
K 0.500 0.000 0.000
K 0.500 0.500 0.500
Ba 0.000 0.000 0.000
Ba 0.000 0.000 0.500
Ba 0.000 0.500 0.000
Ba 0.500 0.000 0.500
Sn 0.000 0.500 0.500
Sn 0.500 0.500 0.000
S 0.223 0.726 0.497
S 0.251 0.271 0.520
S 0.251 0.731 0.980
S 0.271 0.274 0.997
S 0.729 0.726 0.003
S 0.749 0.269 0.020
S 0.749 0.729 0.480
S 0.777 0.274 0.503

---

Entry 6:
Ta2TcBAs | GGA-PBE | relaxed

## Properties
- DOS(E_F) (states/eV/atom) = 1.11
- SG = P4/mmm (123)
- VASP energy (eV/atom) = -7.248

Unit cell a=4.700 b=4.700 c=4.461 alpha=90.00 beta=90.00 gamma=90.00
Atoms (fractional coordinates):
Ta 0.000 0.500 0.000
Ta 0.500 0.000 0.000
Tc 0.000 0.000 0.500
B 0.500 0.500 0.500
As 0.000 0.000 0.000